1.
Entry from the Alexandria database: crystalline TePb3S2 at its relaxed geometry (PBE).

The structure in CIF format:
```
data_TePb3S2
_chemical_formula_sum 'Te2 Pb6 S4'
_symmetry_space_group_name_H-M 'I m m m'
_symmetry_Int_Tables_number 71
_symmetry_space_group_name_Hall '-I 2 2'
_cell_length_a 4.352
_cell_length_b 6.246
_cell_length_c 13.137
_cell_angle_alpha 90.00
_cell_angle_beta 90.00
_cell_angle_gamma 90.00
loop_
_atom_site_label
_atom_site_fract_x
_atom_site_fract_y
_atom_site_fract_z
Te1 0.000 0.000 0.000
Pb1 0.000 0.500 0.000
Pb2 0.000 0.500 0.317
S1 0.000 0.000 0.337
```

polymorph energy (0 for the lowest one) = 0.004 eV/atom

***

2.
Entry from the Alexandria database: crystalline TePb2S at its relaxed geometry (PBE).

The structure in CIF format:
```
data_TePb2S
_chemical_formula_sum 'Te3 Pb6 S3'
_symmetry_space_group_name_H-M 'R -3 m'
_symmetry_Int_Tables_number 166
_symmetry_space_group_name_Hall '-R 3 2"'
_cell_length_a 4.4345
_cell_length_b 4.4345
_cell_length_c 21.7487
_cell_angle_alpha 90.00
_cell_angle_beta 90.00
_cell_angle_gamma 120.00
loop_
_atom_site_label
_atom_site_fract_x
_atom_site_fract_y
_atom_site_fract_z
Te1 0.0000 0.0000 0.0000
Pb1 0.0000 0.0000 0.2415
S1 0.0000 0.0000 0.5000
```

polymorph energy (0 for the lowest one) = 0.000 eV/atom

***

Number 1: E_form (uncorrected) -0.4526 eV/atom. Number 2: E_form (uncorrected) -0.4513 eV/atom.